1.
A relaxed Rb2InBCl6 crystal, computed with PBE.

Lattice parameters (Å, degrees): 7.2835 7.2835 7.2835 120.06 120.06 89.90
Last column: nearest neighbours and their distance in Å.
Fractional positions:
Rb 0.2500 0.7500 0.5000  12 Cl 3.64
Rb 0.7500 0.2500 0.5000  12 Cl 3.64
In 0.0000 0.0000 0.0000  6 Cl 2.57
B 0.5000 0.5000 0.0000  6 Cl 2.57-2.58
Cl 0.2493 0.2493 0.0000  1 In 2.57, 1 B 2.58
Cl 0.2498 0.2498 0.4996  1 In 2.57, 1 B 2.57
Cl 0.2498 0.7502 0.0000  1 In 2.57, 1 B 2.57
Cl 0.7502 0.2498 0.0000  1 In 2.57, 1 B 2.57
Cl 0.7502 0.7502 0.5004  1 In 2.57, 1 B 2.57
Cl 0.7507 0.7507 0.0000  1 In 2.57, 1 B 2.58

Output
calculated total energy: -3.200 eV per atom
D(E_F): 0.00 states/eV/atom

2.
A relaxed V3SbBr crystal, computed with PBE.

Lattice parameters (Å, degrees): 5.2459 5.2459 5.2459 90.00 90.00 90.00
Last column: nearest neighbours and their distance in Å.
Fractional positions:
V 0.0000 0.0000 0.5000  2 Sb 2.62
V 0.0000 0.5000 0.0000  2 Sb 2.62
V 0.5000 0.0000 0.0000  2 Sb 2.62
Sb 0.0000 0.0000 0.0000  6 V 2.62
Br 0.5000 0.5000 0.5000  12 V 3.71

Output
ΔE to the lowest computed polymorph: 1.19 eV/f.u.
calculated total energy: -5.517 eV per atom
D(E_F): 2.59 states/eV/atom

3.
A relaxed Sr3CePb4 crystal, computed with PBE.

Lattice parameters (Å, degrees): 4.1219 4.1219 16.2670 90.00 90.00 90.00
Last column: nearest neighbours and their distance in Å.
Fractional positions:
Sr 0.0000 0.0000 0.0000  8 Pb 3.65
Sr 0.0000 0.0000 0.2627  8 Pb 3.58-3.62, 1 Ce 3.86
Sr 0.0000 0.0000 0.7373  8 Pb 3.58-3.62, 1 Ce 3.86
Ce 0.0000 0.0000 0.5000  8 Pb 3.38
Pb 0.5000 0.5000 0.1349  8 Sr 3.58-3.65
Pb 0.5000 0.5000 0.3945  4 Ce 3.38, 1 Pb 3.43, 4 Sr 3.62
Pb 0.5000 0.5000 0.6055  4 Ce 3.38, 1 Pb 3.43, 4 Sr 3.62
Pb 0.5000 0.5000 0.8651  8 Sr 3.58-3.65

Output
formation energy from the elements: -0.459 eV/atom
calculated total energy: -3.686 eV per atom
D(E_F): 1.16 states/eV/atom

no.,total magnetization (μB/atom)
1,0.00
2,2.20
3,0.15